First-principles (PBE) data for a geometry-optimized Ga12H5Au3 structure, as listed in Alexandria. Values from VASP.

## Properties
Space-group type: No. 230
Energy, eV per cell: -240.0

Cell and atoms, written as Quantum ESPRESSO input:
```
&SYSTEM
  ibrav = 0, nat = 80, ntyp = 3
/
ATOMIC_SPECIES
Au 196.97 Au.upf
H 1.01 H.upf
Ga 69.72 Ga.upf
CELL_PARAMETERS angstrom
11.836 0.000 0.000
-3.945 11.159 0.000
-3.945 -5.579 9.664
ATOMIC_POSITIONS crystal
Au 0.750 0.375 0.125
Au 0.875 0.750 0.125
Au 0.375 0.750 0.625
Au 0.250 0.125 0.375
Au 0.875 0.125 0.250
Au 0.375 0.625 0.250
Au 0.625 0.375 0.750
Au 0.125 0.875 0.750
Au 0.750 0.875 0.625
Au 0.625 0.250 0.375
Au 0.125 0.250 0.875
Au 0.250 0.625 0.875
H 0.125 0.375 0.250
H 0.000 0.500 0.000
H 0.000 0.000 0.000
H 0.375 0.250 0.125
H 0.500 0.000 0.500
H 0.500 0.500 0.000
H 0.125 0.750 0.375
H 0.750 0.125 0.875
H 0.750 0.625 0.375
H 0.375 0.125 0.750
H 0.625 0.875 0.250
H 0.500 0.500 0.500
H 0.500 0.000 0.000
H 0.000 0.000 0.500
H 0.250 0.375 0.625
H 0.250 0.875 0.125
H 0.000 0.500 0.500
H 0.875 0.250 0.625
H 0.625 0.750 0.875
H 0.875 0.625 0.750
Ga 0.699 0.108 0.015
Ga 0.316 0.515 0.407
Ga 0.985 0.392 0.301
Ga 0.515 0.199 0.108
Ga 0.591 0.699 0.684
Ga 0.985 0.593 0.184
Ga 0.316 0.801 0.409
Ga 0.093 0.909 0.108
Ga 0.593 0.985 0.684
Ga 0.699 0.591 0.184
Ga 0.801 0.485 0.392
Ga 0.816 0.907 0.015
Ga 0.108 0.699 0.515
Ga 0.392 0.407 0.091
Ga 0.091 0.907 0.392
Ga 0.409 0.108 0.593
Ga 0.091 0.184 0.199
Ga 0.485 0.684 0.093
Ga 0.816 0.909 0.301
Ga 0.108 0.409 0.093
Ga 0.392 0.985 0.801
Ga 0.593 0.608 0.409
Ga 0.907 0.816 0.515
Ga 0.801 0.316 0.909
Ga 0.407 0.392 0.591
Ga 0.093 0.184 0.485
Ga 0.199 0.684 0.091
Ga 0.184 0.091 0.699
Ga 0.608 0.015 0.199
Ga 0.892 0.591 0.907
Ga 0.515 0.316 0.907
Ga 0.591 0.892 0.407
Ga 0.909 0.816 0.801
Ga 0.909 0.093 0.608
Ga 0.892 0.301 0.485
Ga 0.184 0.093 0.985
Ga 0.608 0.593 0.909
Ga 0.407 0.015 0.316
Ga 0.301 0.409 0.816
Ga 0.199 0.515 0.608
Ga 0.907 0.091 0.892
Ga 0.684 0.199 0.591
Ga 0.485 0.801 0.892
Ga 0.015 0.407 0.816
Ga 0.409 0.301 0.316
Ga 0.015 0.608 0.699
Ga 0.684 0.485 0.593
Ga 0.301 0.892 0.985
```

***

First-principles (PBE) data for a geometry-optimized GaHAu3 structure, as listed in Alexandria. Values from VASP.

## Properties
Space-group type: No. 221
Energy, eV per cell: -15.0

Cell and atoms, written as Quantum ESPRESSO input:
```
&SYSTEM
  ibrav = 0, nat = 5, ntyp = 3
/
ATOMIC_SPECIES
H 1.01 H.upf
Au 196.97 Au.upf
Ga 69.72 Ga.upf
CELL_PARAMETERS angstrom
-0.834 -1.735 -3.794
3.305 -2.637 0.479
-2.547 -2.853 1.865
ATOMIC_POSITIONS crystal
H 0.000 0.000 0.000
Au 0.000 0.500 0.000
Au 0.000 0.000 0.500
Au 0.500 0.000 0.000
Ga 0.500 0.500 0.500
```

***

First-principles (PBE) data for a geometry-optimized Ga3HAu structure, as listed in Alexandria. Values from VASP.

## Properties
Space-group type: No. 221
Energy, eV per cell: -13.3

Cell and atoms, written as Quantum ESPRESSO input:
```
&SYSTEM
  ibrav = 0, nat = 5, ntyp = 3
/
ATOMIC_SPECIES
H 1.01 H.upf
Au 196.97 Au.upf
Ga 69.72 Ga.upf
CELL_PARAMETERS angstrom
-1.077 2.206 -4.392
0.334 -4.453 -2.319
-4.904 -0.788 0.807
ATOMIC_POSITIONS crystal
H 0.500 0.500 0.500
Au 0.000 0.000 0.000
Ga 0.000 0.500 0.000
Ga 0.000 0.000 0.500
Ga 0.500 0.000 0.000
```